Gd2DyCu4Sn2Ge2 after structural relaxation, computed with PBE. Values from VASP.

The structure in Quantum ESPRESSO input format:
```
&SYSTEM
  ibrav = 0, nat = 11, ntyp = 5
/
ATOMIC_SPECIES
Cu 63.55 Cu.upf
Dy 162.50 Dy.upf
Gd 157.25 Gd.upf
Ge 72.64 Ge.upf
Sn 118.71 Sn.upf
CELL_PARAMETERS angstrom
-2.1939 3.3579 7.2736
2.1939 -3.3579 7.2736
2.1939 3.3579 -7.2736
ATOMIC_POSITIONS angstrom
Cu 0.0000 2.0854 4.9458
Cu 0.0000 2.0854 9.6015
Cu 2.1939 1.2725 -2.3278
Cu 2.1939 1.2725 2.3278
Dy 0.0000 0.0000 0.0000
Gd 0.0000 3.3579 1.8275
Gd 2.1939 0.0000 5.4462
Ge 0.0000 1.2882 7.2736
Ge 2.1939 2.0697 0.0000
Sn 0.0000 0.0000 3.1579
Sn 0.0000 0.0000 11.3894
```

Values from the calculation:
- total moment (μB/atom) = 0.00
- E above lowest polymorph (meV/atom) = 0.0